(1)
This record from Alexandria describes crystalline Th3H3Pb at its relaxed geometry. The functional is PBE-GGA.

space-group type	No. 223
spin magnetization	0.93	μB per formula unit
E above lowest polymorph	0	meV/atom
mass density	10.82	g/cm³

Cell: 6.5286 6.5286 6.5286 Å, 90.00 90.00 90.00°
Element x y z (fractional)
Th 0.0000 0.2500 0.5000
Th 0.0000 0.7500 0.5000
Th 0.2500 0.5000 0.0000
Th 0.5000 0.0000 0.2500
Th 0.5000 0.0000 0.7500
Th 0.7500 0.5000 0.0000
H 0.0000 0.5000 0.2500
H 0.0000 0.5000 0.7500
H 0.2500 0.0000 0.5000
H 0.5000 0.2500 0.0000
H 0.5000 0.7500 0.0000
H 0.7500 0.0000 0.5000
Pb 0.0000 0.0000 0.0000
Pb 0.5000 0.5000 0.5000

(2)
This record from Alexandria describes crystalline NdThPb2 at its relaxed geometry. The functional is PBE-GGA.

space-group type	No. 123
spin magnetization	0.00	μB per formula unit
ΔE_f	-381	meV/atom
E above lowest polymorph	35	meV/atom
mass density	10.92	g/cm³

Cell: 5.1140 5.1140 4.5980 Å, 90.00 90.00 90.00°
Element x y z (fractional)
Nd 0.0000 0.0000 0.0000
Th 0.5000 0.5000 0.0000
Pb 0.0000 0.5000 0.5000
Pb 0.5000 0.0000 0.5000

Which formula does entry 1 have?
Th3H3Pb

Which formula does entry 2 have?
NdThPb2

Among the records above, which one has the highest mass density?
NdThPb2